Computed, not measured: a geometry-optimized AcPaCdSn structure at the GGA-PBE level of DFT. Values from VASP.

Geometry as Quantum ESPRESSO input:
```
&SYSTEM
  ibrav = 0, nat = 4, ntyp = 4
/
ATOMIC_SPECIES
Ac 227.00 Ac.upf
Pa 231.04 Pa.upf
Cd 112.41 Cd.upf
Sn 118.71 Sn.upf
CELL_PARAMETERS angstrom
0.000 3.917 3.917
3.917 0.000 3.917
3.917 3.917 0.000
ATOMIC_POSITIONS angstrom
Ac 0.000 0.000 0.000
Pa 3.917 3.917 3.917
Cd 5.876 5.876 5.876
Sn 1.959 1.959 1.959
```

E: -4.653 eV/atom
DOS(E_F): 9.5 states/eV per cell
Calculated volume: 30.06 Å³/atom

***

Computed, not measured: a geometry-optimized Dy8Cd2Ir structure at the GGA-PBE level of DFT. Values from VASP.

Geometry as Quantum ESPRESSO input:
```
&SYSTEM
  ibrav = 0, nat = 11, ntyp = 3
/
ATOMIC_SPECIES
Dy 162.50 Dy.upf
Cd 112.41 Cd.upf
Ir 192.22 Ir.upf
CELL_PARAMETERS angstrom
8.859 -2.645 0.000
8.859 2.645 0.000
-2.354 0.000 6.523
ATOMIC_POSITIONS angstrom
Dy -0.320 0.000 1.869
Dy 1.662 0.000 5.176
Dy 4.885 0.000 3.558
Dy 7.060 0.000 0.495
Dy 8.304 0.000 6.028
Dy 10.480 0.000 2.965
Dy 13.703 0.000 1.347
Dy 15.684 0.000 4.654
Cd 2.716 0.000 1.366
Cd 12.649 0.000 5.157
Ir 7.682 0.000 3.261
```

E: -4.592 eV/atom
DOS(E_F): 9.2 states/eV per cell
Calculated volume: 27.79 Å³/atom

***

> The highest E belongs to which entry?

Dy8Cd2Ir

***

> What is the calculated volume in the second record?

27.79 Å³/atom